# MnFe3Ni2P6O24

A geometry-optimized MnFe3Ni2P6O24 structure (PBE+U, the Alexandria database).

Cell and atoms, written as CIF:
```
data_MnFe3Ni2P6O24
_symmetry_space_group_name_H-M 'R 3'
_symmetry_Int_Tables_number 146
_symmetry_space_group_name_Hall 'R 3'
_cell_length_a 8.5824
_cell_length_b 8.5824
_cell_length_c 20.6743
_cell_angle_alpha 90.00
_cell_angle_beta 90.00
_cell_angle_gamma 120.00
loop_
_atom_site_label
_atom_site_fract_x
_atom_site_fract_y
_atom_site_fract_z
_atom_site_occupancy
Mn1 0.0000 0.0000 0.0000 1
Fe1 0.0000 0.0000 0.2863 1
Fe2 0.0000 0.0000 0.4984 1
Fe3 0.0000 0.0000 0.7861 1
Ni1 0.0000 0.0000 0.1435 1
Ni2 0.0000 0.0000 0.6430 1
P1 0.0379 0.6679 0.0580 1
P2 0.0422 0.3733 0.5600 1
O1 0.0024 0.1945 0.9557 1
O2 0.0152 0.1807 0.5692 1
O3 0.0166 0.8404 0.0660 1
O4 0.1343 0.6679 0.1199 1
O5 0.1392 0.6744 0.9971 1
O6 0.1465 0.4645 0.4991 1
O7 0.1638 0.6759 0.3839 1
O8 0.1677 0.4814 0.8844 1
```

## Properties
Crystal system: trigonal
Volume: 1318.8 Å³ per cell
Calculated density: 3.436 Mg/m³
Raw total energy: -6.860 eV per atom